Record 1
! Tb3PmSm2As6 (GGA-PBE, optimized geometry); values from VASP
&SYSTEM
  ibrav = 0, nat = 12, ntyp = 4
/
ATOMIC_SPECIES
Tb 158.93 Tb.upf
Pm 145.00 Pm.upf
Sm 150.36 Sm.upf
As 74.92 As.upf
CELL_PARAMETERS angstrom
9.110 -2.091 0.000
9.110 2.091 0.000
-1.915 0.000 8.136
ATOMIC_POSITIONS crystal
Tb 0.000 0.000 0.000
Tb 0.333 0.333 0.667
Tb 0.667 0.667 0.333
Pm 0.000 0.000 0.500
Sm 0.333 0.333 0.167
Sm 0.667 0.667 0.833
As 0.166 0.166 0.086
As 0.168 0.168 0.581
As 0.499 0.499 0.754
As 0.501 0.501 0.246
As 0.832 0.832 0.419
As 0.834 0.834 0.914
! Uncorrected energy: -74.371 eV per formula unit



Record 2
! PmSm2Th3As6 (GGA-PBE, optimized geometry); values from VASP
&SYSTEM
  ibrav = 0, nat = 12, ntyp = 4
/
ATOMIC_SPECIES
Pm 145.00 Pm.upf
Sm 150.36 Sm.upf
Th 232.04 Th.upf
As 74.92 As.upf
CELL_PARAMETERS angstrom
9.236 -2.122 0.000
9.236 2.122 0.000
-1.916 0.000 8.238
ATOMIC_POSITIONS crystal
Pm 0.000 0.000 0.000
Sm 0.333 0.333 0.667
Sm 0.667 0.667 0.333
Th 0.000 0.000 0.500
Th 0.333 0.333 0.167
Th 0.667 0.667 0.833
As 0.167 0.167 0.084
As 0.167 0.167 0.583
As 0.500 0.500 0.251
As 0.500 0.500 0.749
As 0.833 0.833 0.417
As 0.833 0.833 0.916
! Uncorrected energy: -82.092 eV per formula unit



Record 3
! Pm4SmTh3As8 (GGA-PBE, optimized geometry); values from VASP
&SYSTEM
  ibrav = 0, nat = 16, ntyp = 4
/
ATOMIC_SPECIES
Pm 145.00 Pm.upf
Sm 150.36 Sm.upf
Th 232.04 Th.upf
As 74.92 As.upf
CELL_PARAMETERS angstrom
4.245 2.451 6.919
-4.245 2.451 6.919
0.000 -4.901 6.919
ATOMIC_POSITIONS crystal
Pm 0.000 0.000 0.000
Pm 0.000 0.500 0.500
Pm 0.500 0.000 0.500
Pm 0.500 0.500 0.000
Sm 0.500 0.500 0.500
Th 0.000 0.000 0.500
Th 0.000 0.500 0.000
Th 0.500 0.000 0.000
As 0.249 0.749 0.749
As 0.250 0.250 0.250
As 0.251 0.251 0.751
As 0.251 0.751 0.251
As 0.749 0.249 0.749
As 0.749 0.749 0.249
As 0.750 0.750 0.750
As 0.751 0.251 0.251
! Uncorrected energy: -107.195 eV per formula unit



Record 4
! PmSm2ThAs4 (GGA-PBE, optimized geometry); values from VASP
&SYSTEM
  ibrav = 0, nat = 8, ntyp = 4
/
ATOMIC_SPECIES
Pm 145.00 Pm.upf
Sm 150.36 Sm.upf
Th 232.04 Th.upf
As 74.92 As.upf
CELL_PARAMETERS angstrom
7.319 0.000 0.000
0.000 4.236 0.000
-2.440 0.000 6.906
ATOMIC_POSITIONS crystal
Pm 0.000 0.000 0.000
Sm 0.500 0.000 0.500
Sm 0.500 0.500 0.000
Th 0.000 0.500 0.500
As 0.250 0.500 0.251
As 0.251 0.000 0.750
As 0.749 0.000 0.250
As 0.750 0.500 0.749
! Uncorrected energy: -52.376 eV per formula unit



Record 5
! PmSm3Th2As6 (GGA-PBE, optimized geometry); values from VASP
&SYSTEM
  ibrav = 0, nat = 12, ntyp = 4
/
ATOMIC_SPECIES
Pm 145.00 Pm.upf
Sm 150.36 Sm.upf
Th 232.04 Th.upf
As 74.92 As.upf
CELL_PARAMETERS angstrom
9.220 -2.119 0.000
9.220 2.119 0.000
-1.928 0.000 8.230
ATOMIC_POSITIONS crystal
Pm 0.000 0.000 0.000
Sm 0.000 0.000 0.500
Sm 0.334 0.334 0.166
Sm 0.666 0.666 0.834
Th 0.335 0.335 0.669
Th 0.665 0.665 0.331
As 0.167 0.167 0.083
As 0.167 0.167 0.583
As 0.500 0.500 0.251
As 0.500 0.500 0.749
As 0.833 0.833 0.417
As 0.833 0.833 0.917
! Uncorrected energy: -79.702 eV per formula unit



Record 6
! Pm2SmTh3As6 (GGA-PBE, optimized geometry); values from VASP
&SYSTEM
  ibrav = 0, nat = 12, ntyp = 4
/
ATOMIC_SPECIES
Pm 145.00 Pm.upf
Sm 150.36 Sm.upf
Th 232.04 Th.upf
As 74.92 As.upf
CELL_PARAMETERS angstrom
3.683 -6.369 0.000
3.683 6.369 0.000
-2.452 0.000 6.904
ATOMIC_POSITIONS crystal
Pm 0.167 0.833 0.000
Pm 0.833 0.167 0.000
Sm 0.500 0.500 0.000
Th 0.000 0.000 0.500
Th 0.333 0.667 0.500
Th 0.667 0.333 0.500
As 0.084 0.417 0.750
As 0.251 0.251 0.251
As 0.417 0.084 0.750
As 0.583 0.916 0.250
As 0.749 0.749 0.749
As 0.916 0.583 0.250
! Uncorrected energy: -82.126 eV per formula unit



Record 7
! Pm3Sm2TmAs6 (GGA-PBE, optimized geometry); values from VASP
&SYSTEM
  ibrav = 0, nat = 12, ntyp = 4
/
ATOMIC_SPECIES
Pm 145.00 Pm.upf
Sm 150.36 Sm.upf
Tm 168.93 Tm.upf
As 74.92 As.upf
CELL_PARAMETERS angstrom
9.157 -2.102 0.000
9.157 2.102 0.000
-1.927 0.000 8.178
ATOMIC_POSITIONS crystal
Pm 0.000 0.000 0.000
Pm 0.333 0.333 0.666
Pm 0.667 0.667 0.334
Sm 0.334 0.334 0.168
Sm 0.666 0.666 0.832
Tm 0.000 0.000 0.500
As 0.164 0.164 0.583
As 0.167 0.167 0.082
As 0.500 0.500 0.258
As 0.500 0.500 0.742
As 0.833 0.833 0.918
As 0.836 0.836 0.417
! Uncorrected energy: -74.270 eV per formula unit



Record 8
! Pm2SmTm3As6 (GGA-PBE, optimized geometry); values from VASP
&SYSTEM
  ibrav = 0, nat = 12, ntyp = 4
/
ATOMIC_SPECIES
Pm 145.00 Pm.upf
Sm 150.36 Sm.upf
Tm 168.93 Tm.upf
As 74.92 As.upf
CELL_PARAMETERS angstrom
9.035 -2.075 0.000
9.035 2.075 0.000
-1.888 0.000 8.072
ATOMIC_POSITIONS crystal
Pm 0.167 0.167 0.333
Pm 0.833 0.833 0.667
Sm 0.500 0.500 0.000
Tm 0.167 0.167 0.833
Tm 0.500 0.500 0.500
Tm 0.833 0.833 0.167
As 0.003 0.003 0.745
As 0.331 0.331 0.923
As 0.336 0.336 0.411
As 0.664 0.664 0.589
As 0.669 0.669 0.077
As 0.997 0.997 0.255
! Uncorrected energy: -73.645 eV per formula unit